1.
Crystalline La3MgBr at its relaxed geometry, computed with GGA-PBEsol.

Summary:
Symmetry = Pm-3m, No. 221
Uncorrected formation energy = -31.5 kJ/mol of atoms
Volume = 35.4 Å³/atom

Lattice parameters (Å, degrees): 5.615 5.615 5.615 90.00 90.00 90.00
Element x y z (fractional)
La 0.000 0.000 0.500
La 0.000 0.500 0.000
La 0.500 0.000 0.000
Mg 0.500 0.500 0.500
Br 0.000 0.000 0.000

=====

2.
Crystalline LaMgBr at its relaxed geometry, computed with GGA-PBEsol.

Summary:
Symmetry = F-43m, No. 216
Uncorrected formation energy = 1.9 kJ/mol of atoms
Volume = 32.4 Å³/atom

Lattice parameters (Å, degrees): 7.297 7.297 7.297 90.00 90.00 90.00
Element x y z (fractional)
La 0.000 0.000 0.000
La 0.000 0.500 0.500
La 0.500 0.000 0.500
La 0.500 0.500 0.000
Mg 0.250 0.250 0.250
Mg 0.250 0.750 0.750
Mg 0.750 0.250 0.750
Mg 0.750 0.750 0.250
Br 0.000 0.000 0.500
Br 0.000 0.500 0.000
Br 0.500 0.000 0.000
Br 0.500 0.500 0.500

=====

3.
Crystalline LaMgOsBr2 at its relaxed geometry, computed with GGA-PBEsol.

Summary:
Symmetry = P4/mmm, No. 123
Uncorrected formation energy = 26.6 kJ/mol of atoms
Volume = 24.8 Å³/atom

Lattice parameters (Å, degrees): 5.026 5.026 4.907 90.00 90.00 90.00
Element x y z (fractional)
La 0.000 0.000 0.000
Mg 0.500 0.500 0.000
Os 0.500 0.500 0.500
Br 0.000 0.500 0.500
Br 0.500 0.000 0.500

=====

4.
Crystalline LaMg2PtBr at its relaxed geometry, computed with GGA-PBEsol.

Summary:
Symmetry = P4/mmm, No. 123
Uncorrected formation energy = 14.5 kJ/mol of atoms
Volume = 25.9 Å³/atom

Lattice parameters (Å, degrees): 4.825 4.825 5.571 90.00 90.00 90.00
Element x y z (fractional)
La 0.000 0.000 0.000
Mg 0.000 0.500 0.500
Mg 0.500 0.000 0.500
Pt 0.500 0.500 0.000
Br 0.000 0.000 0.500

=====

5.
Crystalline LaMnBr2 at its relaxed geometry, computed with GGA-PBEsol.

Summary:
Symmetry = P2/m, No. 10
Uncorrected formation energy = -53.1 kJ/mol of atoms
Volume = 24.0 Å³/atom

Lattice parameters (Å, degrees): 3.564 4.095 6.591 90.00 90.34 90.00
Element x y z (fractional)
La 0.000 0.000 0.000
Mn 0.500 0.000 0.500
Br 0.498 0.500 0.760
Br 0.502 0.500 0.240

=====

6.
Crystalline La2MnBr at its relaxed geometry, computed with GGA-PBEsol.

Summary:
Symmetry = Pmmm, No. 47
Uncorrected formation energy = -26.8 kJ/mol of atoms
Volume = 25.1 Å³/atom

Lattice parameters (Å, degrees): 3.396 5.174 5.713 90.00 90.00 90.00
Element x y z (fractional)
La 0.000 0.000 0.000
La 0.000 0.500 0.500
Mn 0.500 0.000 0.500
Br 0.500 0.500 0.000

=====

7.
Crystalline La3MoBr at its relaxed geometry, computed with GGA-PBEsol.

Summary:
Symmetry = Pm-3m, No. 221
Uncorrected formation energy = 45.3 kJ/mol of atoms
Volume = 33.6 Å³/atom

Lattice parameters (Å, degrees): 5.520 5.520 5.520 90.00 90.00 90.00
Element x y z (fractional)
La 0.000 0.000 0.500
La 0.000 0.500 0.000
La 0.500 0.000 0.000
Mo 0.500 0.500 0.500
Br 0.000 0.000 0.000

=====

8.
Crystalline LaMoBr at its relaxed geometry, computed with GGA-PBEsol.

Summary:
Symmetry = P3m1, No. 156
Uncorrected formation energy = 35.7 kJ/mol of atoms
Volume = 22.9 Å³/atom

Lattice parameters (Å, degrees): 3.357 3.357 7.039 90.00 90.00 120.00
Element x y z (fractional)
La 0.000 0.000 0.000
Mo 0.667 0.333 0.664
Br 0.333 0.667 0.387